DFT (PBE-GGA) results for crystalline TmCdPd at its relaxed geometry.

abc: 4.750 4.750 4.750
angles: 60.00 60.00 60.00
Element x y z (fractional)
Cd1 0.250 0.250 0.250
Tm1 0.000 0.000 0.000
Pd1 0.750 0.750 0.750

Properties
The raw total energy comes out at -3.63 eV/atom. Its formation enthalpy at 0 K is -0.117 eV/atom.